No. 1
# Pr2SmY3Se6

A relaxed structure of Pr2SmY3Se6 (PBE, the Alexandria database).

Its uncorrected formation energy is -1.8040 eV per atom. As for the density of states at the Fermi level: 5.48 states/eV per cell. Its mass density is 6.37 g/cm³.

Unit cell a=9.332 b=9.332 c=8.406 alpha=104.07 beta=104.07 gamma=25.54
Atoms (fractional coordinates):
Pr (0.167, 0.167, 0.334)
Pr (0.833, 0.833, 0.666)
Sm (0.500, 0.500, 0.000)
Y (0.168, 0.168, 0.833)
Y (0.500, 0.500, 0.500)
Y (0.832, 0.832, 0.167)
Se (0.004, 0.004, 0.747)
Se (0.332, 0.332, 0.927)
Se (0.337, 0.337, 0.408)
Se (0.663, 0.663, 0.592)
Se (0.668, 0.668, 0.073)
Se (0.996, 0.996, 0.253)

=====

No. 2
# PaRe2BC

A relaxed structure of PaRe2BC (PBE, the Alexandria database).

As for the density of states at the Fermi level: 6.59 states/eV per cell. The formation energy is -332 meV per atom. Its mass density is 15.02 g/cm³.

Unit cell a=5.876 b=5.876 c=7.448 alpha=90.00 beta=90.00 gamma=147.42
Atoms (fractional coordinates):
Pa (0.044, 0.956, 0.750)
Pa (0.956, 0.044, 0.250)
Re (0.327, 0.673, 0.567)
Re (0.327, 0.673, 0.933)
Re (0.673, 0.327, 0.067)
Re (0.673, 0.327, 0.433)
B (0.248, 0.752, 0.250)
B (0.752, 0.248, 0.750)
C (0.500, 0.500, 0.000)
C (0.500, 0.500, 0.500)

=====

No. 3
# AgSbTe2I

A relaxed structure of AgSbTe2I (PBE, the Alexandria database).

Its uncorrected formation energy is 0.5375 eV per atom. As for the density of states at the Fermi level: 6.31 states/eV per cell. Its mass density is 6.15 g/cm³. The calculation puts the offset from the most stable computed form at 0.612 eV/atom.

Unit cell a=5.379 b=5.379 c=5.711 alpha=90.00 beta=90.00 gamma=90.00
Atoms (fractional coordinates):
Ag (0.000, 0.000, 0.000)
Sb (0.000, 0.000, 0.500)
Te (0.000, 0.500, 0.000)
Te (0.500, 0.000, 0.000)
I (0.500, 0.500, 0.500)

=====

No. 4
# BaNb3H

A relaxed structure of BaNb3H (PBE, the Alexandria database).

As for the density of states at the Fermi level: 7.61 states/eV per cell. Its mass density is 7.57 g/cm³. The calculation puts the offset from the most stable computed form at 0.000 eV/atom.

Unit cell a=4.505 b=4.505 c=4.505 alpha=90.00 beta=90.00 gamma=90.00
Atoms (fractional coordinates):
Ba (0.000, 0.000, 0.000)
Nb (0.000, 0.500, 0.500)
Nb (0.500, 0.000, 0.500)
Nb (0.500, 0.500, 0.000)
H (0.500, 0.500, 0.500)

=====

Q: Which formula does entry 1 have?
A: Pr2SmY3Se6

=====

Q: Which formula does entry 2 have?
A: PaRe2BC

=====

Q: Number 1 is which compound?
A: Pr2SmY3Se6